No. 1
Density functional theory data (PBE-GGA) for a relaxed structure of ScMn2Ag.

Computed properties:
- Calculated formation energy: 0.65 eV/f.u.
- Magnetic moment: 1.44 μB/atom
- SG: No. 47

Geometry as POSCAR:
```
ScMn2Ag
1.0
4.0836 0.0000 0.0000
0.0000 4.0528 0.0000
0.0000 0.0000 3.9595
Sc Mn Ag
1 2 1
Cartesian
2.0418 0.0000 1.9798 Sc
2.0418 2.0264 0.0000 Mn
0.0000 0.0000 0.0000 Mn
0.0000 2.0264 1.9798 Ag
```

---

No. 2
Density functional theory data (PBE-GGA) for a relaxed structure of ScMn2Ag.

Computed properties:
- Calculated formation energy: 0.54 eV/f.u.
- Magnetic moment: 0.02 μB/atom
- SG: No. 216

Geometry as POSCAR:
```
ScMn2Ag
1.0
4.5780 0.0000 0.0000
2.2890 3.9647 0.0000
2.2890 1.3216 3.7379
Ag Mn Sc
1 2 1
Cartesian
4.5780 2.6431 1.8690 Ag
0.0000 0.0000 0.0000 Mn
6.8670 3.9647 2.8035 Mn
2.2890 1.3216 0.9345 Sc
```